Entry 1:
VASP calculation (PBEsol) on a geometry-optimized LiMgOs2 structure.

abc: 8.6671 2.7442 4.9515
angles: 90.00 96.12 90.00
Last column: nearest neighbours and their distance in Å.
Space group Cm (No. 8)
Inequivalent atoms, fractional coordinates:
Li1 0.0000 0.0000 0.0000 (multiplicity 2)  1 Mg 2.42, 2 Os 2.69
Mg1 0.2394 0.0000 0.7892 (multiplicity 2)  1 Li 2.42
Os1 0.2525 0.5000 0.2979 (multiplicity 2)  5 Os 2.48-2.74, 1 Li 2.73
Os2 0.4934 0.0000 0.4660 (multiplicity 2)  5 Os 2.48-2.74, 2 Li 2.69

## Properties
Energy relative to the elements: 0.23 eV per atom
Energy: -54.40 eV per cell
Fermi-level density of states: 0.58 states/eV/atom

Entry 2:
VASP calculation (PBEsol) on a geometry-optimized Li2MgOsRu structure.

abc: 4.0186 4.0186 4.7161
angles: 90.00 90.00 90.00
Last column: nearest neighbours and their distance in Å.
Space group P4/mmm (No. 123)
Inequivalent atoms, fractional coordinates:
Li1 0.0000 0.5000 0.0000 (multiplicity 2)  2 Mg 2.01
Mg1 0.0000 0.0000 0.0000 (multiplicity 1)  4 Li 2.01
Os1 0.0000 0.0000 0.5000 (multiplicity 1)  2 Mg 2.36
Ru1 0.5000 0.5000 0.5000 (multiplicity 1)  4 Os 2.84, 8 Li 3.10

## Properties
Energy relative to the elements: 1.50 eV per atom
Energy: -20.55 eV per cell
Fermi-level density of states: 0.81 states/eV/atom

Entry 3:
VASP calculation (PBEsol) on a geometry-optimized LiMg3P structure.

abc: 4.9417 4.9417 4.9417
angles: 90.00 90.00 90.00
Last column: nearest neighbours and their distance in Å.
Space group Pm-3m (No. 221)
Inequivalent atoms, fractional coordinates:
Li1 0.0000 0.0000 0.0000 (multiplicity 1)  12 Mg 3.49
Mg1 0.0000 0.5000 0.5000 (multiplicity 3)  2 P 2.47
P1 0.5000 0.5000 0.5000 (multiplicity 1)  6 Mg 2.47

## Properties
Energy relative to the elements: 0.01 eV per atom
Energy: -12.86 eV per cell
Fermi-level density of states: 0.49 states/eV/atom

Entry 4:
VASP calculation (PBEsol) on a geometry-optimized LiMg4P structure.

abc: 8.0200 8.0200 8.0200
angles: 90.00 90.00 90.00
Last column: nearest neighbours and their distance in Å.
Space group F-43m (No. 216)
Inequivalent atoms, fractional coordinates:
Li1 0.0000 0.0000 0.0000 (multiplicity 4)  12 Mg 3.33, 4 P 3.47
Mg1 0.1242 0.1242 0.3758 (multiplicity 16)  6 Mg 2.82-2.85
P1 0.2500 0.2500 0.7500 (multiplicity 4)  12 Mg 3.32, 4 Li 3.47

## Properties
Energy relative to the elements: 0.23 eV per atom
Energy: -52.88 eV per cell
Fermi-level density of states: 0.70 states/eV/atom

Entry 5:
VASP calculation (PBEsol) on a geometry-optimized Li3MgP structure.

abc: 4.6975 4.6975 4.6975
angles: 90.00 90.00 90.00
Last column: nearest neighbours and their distance in Å.
Space group Pm-3m (No. 221)
Inequivalent atoms, fractional coordinates:
Li1 0.0000 0.0000 0.5000 (multiplicity 3)  2 P 2.35
Mg1 0.5000 0.5000 0.5000 (multiplicity 1)  12 Li 3.32
P1 0.0000 0.0000 0.0000 (multiplicity 1)  6 Li 2.35

## Properties
Energy relative to the elements: -0.23 eV per atom
Energy: -14.58 eV per cell
Fermi-level density of states: 0.27 states/eV/atom

Entry 6:
VASP calculation (PBEsol) on a geometry-optimized Li2MgPPt structure.

abc: 4.4928 4.4928 4.9326
angles: 90.00 90.00 90.00
Last column: nearest neighbours and their distance in Å.
Space group P4/mmm (No. 123)
Inequivalent atoms, fractional coordinates:
Li1 0.0000 0.5000 0.0000 (multiplicity 2)  2 Pt 2.25
Mg1 0.0000 0.0000 0.5000 (multiplicity 1)  2 Pt 2.47
P1 0.5000 0.5000 0.5000 (multiplicity 1)  4 Mg 3.18, 8 Li 3.34
Pt1 0.0000 0.0000 0.0000 (multiplicity 1)  4 Li 2.25, 2 Mg 2.47

## Properties
Energy relative to the elements: 0.15 eV per atom
Energy: -17.67 eV per cell
Fermi-level density of states: 0.58 states/eV/atom